Entry from Alexandria via LeMat-Bulk: a geometry-optimized PuMnCoOs structure (PBE-GGA).

Structure (CIF):
```
data_PuMnCoOs
_cell_length_a 6.3527
_cell_length_b 6.3527
_cell_length_c 6.3527
_cell_angle_alpha 90.00
_cell_angle_beta 90.00
_cell_angle_gamma 90.00
_symmetry_space_group_name_H-M 'F -4 3 m'
_symmetry_Int_Tables_number 216
_symmetry_space_group_name_Hall 'F -4 2 3'
loop_
_atom_site_label
_atom_site_fract_x
_atom_site_fract_y
_atom_site_fract_z
Pu1 0.0000 0.0000 0.0000
Mn1 0.0000 0.0000 0.5000
Co1 0.2500 0.2500 0.2500
Os1 0.2500 0.2500 0.7500
```

Computed properties:
Electronic total energy (eV/atom): -10.282
Spin magnetization (μB/cell): 30.5
DFT formation energy (eV/atom): 0.18